NdMnO3 (GGA+U, relaxed); E_tot = -7.959 eV per atom
1.0
7.895 0.000 0.000
0.000 5.479 0.000
-0.052 0.000 5.696
Nd Mn O
4 4 12
direct
0.249 0.015 0.442 Nd
0.249 0.485 0.942 Nd
0.751 0.515 0.058 Nd
0.751 0.985 0.558 Nd
0.000 0.000 0.000 Mn
0.000 0.500 0.500 Mn
0.500 0.000 0.000 Mn
0.500 0.500 0.500 Mn
0.051 0.209 0.699 O
0.051 0.291 0.199 O
0.242 0.592 0.526 O
0.242 0.908 0.026 O
0.453 0.208 0.705 O
0.453 0.292 0.205 O
0.547 0.708 0.795 O
0.547 0.792 0.295 O
0.758 0.092 0.974 O
0.758 0.408 0.474 O
0.949 0.709 0.801 O
0.949 0.791 0.301 O